First-principles (PBE) data for CeNd8 after structural relaxation, as listed in the Alexandria database.

Geometry as CIF:
```
data_CeNd8
_chemical_formula_sum 'Ce1 Nd8'
_space_group_name_H-M_alt 'P 1'
_space_group_IT_number 1
_cell_length_a 5.1856
_cell_length_b 8.1964
_cell_length_c 8.1964
_cell_angle_alpha 84.26
_cell_angle_beta 71.56
_cell_angle_gamma 71.56
loop_
_space_group_symop_operation_xyz
'x,y,z'
loop_
_atom_site_label
_atom_site_type_symbol
_atom_site_fract_x
_atom_site_fract_y
_atom_site_fract_z
Nd1 Nd 0.6689 0.3311 0.3311
Nd2 Nd 0.3361 0.0000 0.3278
Nd3 Nd 0.0000 0.6689 0.3311
Nd4 Nd 0.6639 0.6722 0.0000
Nd5 Nd 0.3311 0.6689 0.6689
Ce1 Ce 0.0000 0.0000 0.0000
Nd6 Nd 0.0000 0.3311 0.6689
Nd7 Nd 0.6639 0.0000 0.6722
Nd8 Nd 0.3361 0.3278 0.0000
```

Values from the calculation:
space-group type = I4/mmm (139)
calculated formation energy = 0.042 eV/atom

First-principles (PBE) data for TcNi2Cl after structural relaxation, as listed in the Alexandria database.

Geometry as CIF:
```
data_TcNi2Cl
_chemical_formula_sum 'Tc1 Ni2 Cl1'
_space_group_name_H-M_alt 'P 1'
_space_group_IT_number 1
_cell_length_a 2.7562
_cell_length_b 2.7558
_cell_length_c 7.3451
_cell_angle_alpha 89.98
_cell_angle_beta 90.00
_cell_angle_gamma 90.00
loop_
_space_group_symop_operation_xyz
'x,y,z'
loop_
_atom_site_label
_atom_site_type_symbol
_atom_site_fract_x
_atom_site_fract_y
_atom_site_fract_z
Ni1 Ni 0.0000 0.7497 0.4833
Tc1 Tc 0.5000 0.2500 0.2500
Cl1 Cl 0.5000 0.7500 0.7500
Ni2 Ni 0.0000 0.7503 0.0167
```

Values from the calculation:
relative energy among the computed polymorphs = 0 meV/atom
space-group type = Pmmm (47)
uncorrected formation energy = 0.76 eV/f.u.

First-principles (PBE) data for Dy7Y3Tm2 after structural relaxation, as listed in the Alexandria database.

Geometry as CIF:
```
data_Dy7Y3Tm2
_chemical_formula_sum 'Dy7 Y3 Tm2'
_space_group_name_H-M_alt 'P 1'
_space_group_IT_number 1
_cell_length_a 3.5641
_cell_length_b 5.7657
_cell_length_c 18.5741
_cell_angle_alpha 93.57
_cell_angle_beta 90.00
_cell_angle_gamma 90.00
loop_
_space_group_symop_operation_xyz
'x,y,z'
loop_
_atom_site_label
_atom_site_type_symbol
_atom_site_fract_x
_atom_site_fract_y
_atom_site_fract_z
Y1 Y 0.5000 0.5000 0.0000
Dy1 Dy 0.0000 0.3137 0.8554
Dy2 Dy 0.0000 0.0000 0.0000
Dy3 Dy 0.0000 0.6863 0.1446
Tm1 Tm 0.5000 0.7107 0.2946
Y2 Y 0.0000 0.2228 0.3669
Dy4 Dy 0.5000 0.1879 0.1797
Dy5 Dy 0.5000 0.2575 0.5365
Tm2 Tm 0.5000 0.2893 0.7054
Y3 Y 0.0000 0.7772 0.6331
Dy6 Dy 0.5000 0.8121 0.8203
Dy7 Dy 0.5000 0.7425 0.4635
```

Values from the calculation:
relative energy among the computed polymorphs = 0 meV/atom
space-group type = P2/m (10)
calculated formation energy = 0.089 eV/atom

First-principles (PBE) data for Y2Tc after structural relaxation, as listed in the Alexandria database.

Geometry as CIF:
```
data_Y2Tc
_chemical_formula_sum 'Y4 Tc2'
_space_group_name_H-M_alt 'P 1'
_space_group_IT_number 1
_cell_length_a 8.0698
_cell_length_b 8.0698
_cell_length_c 5.3826
_cell_angle_alpha 90.00
_cell_angle_beta 90.00
_cell_angle_gamma 154.91
loop_
_space_group_symop_operation_xyz
'x,y,z'
loop_
_atom_site_label
_atom_site_type_symbol
_atom_site_fract_x
_atom_site_fract_y
_atom_site_fract_z
Y1 Y 0.4281 0.5719 0.2500
Y2 Y 0.5719 0.4281 0.7500
Tc1 Tc 0.9320 0.0680 0.7500
Y3 Y 0.2933 0.7067 0.7500
Y4 Y 0.7067 0.2933 0.2500
Tc2 Tc 0.0680 0.9320 0.2500
```

Values from the calculation:
relative energy among the computed polymorphs = 91 meV/atom
space-group type = Cmcm (63)
calculated formation energy = 0.079 eV/atom

First-principles (PBE) data for MgInAsN2 after structural relaxation, as listed in the Alexandria database.

Geometry as CIF:
```
data_MgInAsN2
_chemical_formula_sum 'Mg1 In1 As1 N2'
_space_group_name_H-M_alt 'P 1'
_space_group_IT_number 1
_cell_length_a 3.9337
_cell_length_b 5.7070
_cell_length_c 3.9337
_cell_angle_alpha 90.00
_cell_angle_beta 90.00
_cell_angle_gamma 90.00
loop_
_space_group_symop_operation_xyz
'x,y,z'
loop_
_atom_site_label
_atom_site_type_symbol
_atom_site_fract_x
_atom_site_fract_y
_atom_site_fract_z
N1 N 0.5000 0.0000 0.0000
In1 In 0.0000 0.5000 0.0000
N2 N 0.0000 0.0000 0.5000
As1 As 0.0000 0.0000 0.0000
Mg1 Mg 0.5000 0.5000 0.5000
```

Values from the calculation:
space-group type = P4/mmm (123)
uncorrected formation energy = 6.18 eV/f.u.

First-principles (PBE) data for MgUReO6 after structural relaxation, as listed in the Alexandria database.

Geometry as CIF:
```
data_MgUReO6
_chemical_formula_sum 'Mg2 U2 Re2 O12'
_space_group_name_H-M_alt 'P 1'
_space_group_IT_number 1
_cell_length_a 5.3086
_cell_length_b 5.3086
_cell_length_c 8.9044
_cell_angle_alpha 90.00
_cell_angle_beta 90.00
_cell_angle_gamma 120.00
loop_
_space_group_symop_operation_xyz
'x,y,z'
loop_
_atom_site_label
_atom_site_type_symbol
_atom_site_fract_x
_atom_site_fract_y
_atom_site_fract_z
U1 U 0.6667 0.3333 0.2500
Re1 Re 0.0000 0.0000 0.0000
O1 O 0.9990 0.6828 0.8743
O2 O 0.6828 0.9990 0.3743
O3 O 0.3162 0.9990 0.1257
Mg1 Mg 0.6667 0.3333 0.7500
O4 O 0.6838 0.6828 0.6257
O5 O 0.3162 0.3172 0.3743
O6 O 0.0010 0.3172 0.1257
O7 O 0.6828 0.6838 0.1257
O8 O 0.3172 0.3162 0.8743
O9 O 0.9990 0.3162 0.6257
Mg2 Mg 0.3333 0.6667 0.2500
O10 O 0.6838 0.0010 0.8743
O11 O 0.0010 0.6838 0.3743
Re2 Re 0.0000 0.0000 0.5000
U2 U 0.3333 0.6667 0.7500
O12 O 0.3172 0.0010 0.6257
```

Values from the calculation:
space-group type = P-31c (163)
uncorrected formation energy = -20.77 eV/f.u.

First-principles (PBE) data for Nd6TmSn4 after structural relaxation, as listed in the Alexandria database.

Geometry as CIF:
```
data_Nd6TmSn4
_chemical_formula_sum 'Nd6 Tm1 Sn4'
_space_group_name_H-M_alt 'P 1'
_space_group_IT_number 1
_cell_length_a 8.3008
_cell_length_b 8.3008
_cell_length_c 8.3008
_cell_angle_alpha 85.92
_cell_angle_beta 122.38
_cell_angle_gamma 122.38
loop_
_space_group_symop_operation_xyz
'x,y,z'
loop_
_atom_site_label
_atom_site_type_symbol
_atom_site_fract_x
_atom_site_fract_y
_atom_site_fract_z
Sn1 Sn 0.4649 0.8326 0.8326
Nd1 Nd 0.6794 0.1766 0.1766
Tm1 Tm 0.0000 0.0000 0.0000
Sn2 Sn 0.0000 0.6323 0.1674
Sn3 Sn 0.0000 0.1674 0.6323
Nd2 Nd 0.0000 0.5028 0.8234
Nd3 Nd 0.5000 0.5000 0.0000
Nd4 Nd 0.0000 0.8234 0.5028
Nd5 Nd 0.3206 0.4972 0.4972
Sn4 Sn 0.5351 0.3677 0.3677
Nd6 Nd 0.5000 0.0000 0.5000
```

Values from the calculation:
space-group type = I-42m (121)
calculated formation energy = -0.344 eV/atom

First-principles (PBE) data for Y2Tl2H after structural relaxation, as listed in the Alexandria database.

Geometry as CIF:
```
data_Y2Tl2H
_chemical_formula_sum 'Y4 Tl4 H2'
_space_group_name_H-M_alt 'P 1'
_space_group_IT_number 1
_cell_length_a 6.7737
_cell_length_b 6.7737
_cell_length_c 5.3023
_cell_angle_alpha 90.00
_cell_angle_beta 90.00
_cell_angle_gamma 90.00
loop_
_space_group_symop_operation_xyz
'x,y,z'
loop_
_atom_site_label
_atom_site_type_symbol
_atom_site_fract_x
_atom_site_fract_y
_atom_site_fract_z
Y1 Y 0.8305 0.6695 0.0000
Y2 Y 0.6695 0.1695 0.0000
Tl1 Tl 0.6583 0.8417 0.5000
Tl2 Tl 0.1583 0.6583 0.5000
Y3 Y 0.3305 0.8305 0.0000
H1 H 0.0000 0.0000 0.0000
Y4 Y 0.1695 0.3305 0.0000
Tl3 Tl 0.3417 0.1583 0.5000
H2 H 0.5000 0.5000 0.0000
Tl4 Tl 0.8417 0.3417 0.5000
```

Values from the calculation:
relative energy among the computed polymorphs = 108 meV/atom
space-group type = P4/mbm (127)

First-principles (PBE) data for CePrCdPb after structural relaxation, as listed in the Alexandria database.

Geometry as CIF:
```
data_CePrCdPb
_chemical_formula_sum 'Ce1 Pr1 Cd1 Pb1'
_space_group_name_H-M_alt 'P 1'
_space_group_IT_number 1
_cell_length_a 5.1016
_cell_length_b 5.1015
_cell_length_c 5.7665
_cell_angle_alpha 116.26
_cell_angle_beta 116.25
_cell_angle_gamma 90.00
loop_
_space_group_symop_operation_xyz
'x,y,z'
loop_
_atom_site_label
_atom_site_type_symbol
_atom_site_fract_x
_atom_site_fract_y
_atom_site_fract_z
Pr1 Pr 0.7500 0.2500 0.5000
Cd1 Cd 0.0000 0.0000 0.0000
Pb1 Pb 0.5000 0.5000 0.0000
Ce1 Ce 0.2500 0.7500 0.5000
```

Values from the calculation:
relative energy among the computed polymorphs = 0 meV/atom
space-group type = I-4m2 (119)
calculated formation energy = -0.348 eV/atom

First-principles (PBE) data for Rb2TaVP after structural relaxation, as listed in the Alexandria database.

Geometry as CIF:
```
data_Rb2TaVP
_chemical_formula_sum 'Rb2 Ta1 V1 P1'
_space_group_name_H-M_alt 'P 1'
_space_group_IT_number 1
_cell_length_a 6.6148
_cell_length_b 4.5917
_cell_length_c 6.6148
_cell_angle_alpha 90.00
_cell_angle_beta 90.00
_cell_angle_gamma 90.00
loop_
_space_group_symop_operation_xyz
'x,y,z'
loop_
_atom_site_label
_atom_site_type_symbol
_atom_site_fract_x
_atom_site_fract_y
_atom_site_fract_z
Rb1 Rb 0.5000 0.0000 0.0000
Ta1 Ta 0.5000 0.5000 0.5000
P1 P 0.0000 0.0000 0.0000
V1 V 0.0000 0.5000 0.0000
Rb2 Rb 0.0000 0.0000 0.5000
```

Values from the calculation:
space-group type = P4/mmm (123)
calculated formation energy = 1.402 eV/atom

First-principles (PBE) data for Cs2TaI2Cl4 after structural relaxation, as listed in the Alexandria database.

Geometry as CIF:
```
data_Cs2TaI2Cl4
_chemical_formula_sum 'Cs2 Ta1 I2 Cl4'
_space_group_name_H-M_alt 'P 1'
_space_group_IT_number 1
_cell_length_a 7.8558
_cell_length_b 7.8558
_cell_length_c 7.8558
_cell_angle_alpha 91.80
_cell_angle_beta 118.96
_cell_angle_gamma 118.96
loop_
_space_group_symop_operation_xyz
'x,y,z'
loop_
_atom_site_label
_atom_site_type_symbol
_atom_site_fract_x
_atom_site_fract_y
_atom_site_fract_z
Cl1 Cl 0.0000 0.7858 0.2142
Cl2 Cl 0.5716 0.7858 0.7858
Cs1 Cs 0.5000 0.7500 0.2500
Ta1 Ta 0.0000 0.0000 0.0000
I1 I 0.0000 0.2594 0.2594
I2 I 0.0000 0.7406 0.7406
Cs2 Cs 0.5000 0.2500 0.7500
Cl3 Cl 0.4284 0.2142 0.2142
Cl4 Cl 0.0000 0.2142 0.7858
```

Values from the calculation:
space-group type = I4/mmm (139)
uncorrected formation energy = -12.81 eV/f.u.

First-principles (PBE) data for ScMnSnPd after structural relaxation, as listed in the Alexandria database.

Geometry as CIF:
```
data_ScMnSnPd
_chemical_formula_sum 'Sc1 Mn1 Sn1 Pd1'
_space_group_name_H-M_alt 'P 1'
_space_group_IT_number 1
_cell_length_a 4.7130
_cell_length_b 4.7130
_cell_length_c 4.7130
_cell_angle_alpha 60.00
_cell_angle_beta 60.00
_cell_angle_gamma 60.00
loop_
_space_group_symop_operation_xyz
'x,y,z'
loop_
_atom_site_label
_atom_site_type_symbol
_atom_site_fract_x
_atom_site_fract_y
_atom_site_fract_z
Mn1 Mn 0.0000 0.0000 0.0000
Sc1 Sc 0.5000 0.5000 0.5000
Pd1 Pd 0.7500 0.7500 0.7500
Sn1 Sn 0.2500 0.2500 0.2500
```

Values from the calculation:
space-group type = F-43m (216)
calculated formation energy = -0.388 eV/atom